Density functional theory data (PBE) for a relaxed structure of Ti2BeNbH.

## Properties
The value obtained for the spin magnetization is 0.000 μB/atom. The value obtained for the excess energy over the best structure of this formula in the dataset is 45.2 meV/atom. As for the space-group type: P4/mmm (123).

a b c (Å): 4.2073 4.2073 3.4816
angles (deg): 90.00 90.00 90.00
Last column: nearest neighbours and their distance in Å.
Fractional positions:
1 Be 0.0000 0.0000 0.5000  2 H 1.74
2 Nb 0.5000 0.5000 0.5000  8 Ti 2.73, 4 Be 2.97
3 H 0.0000 0.0000 0.0000  2 Be 1.74
4 Ti 0.0000 0.5000 0.0000  2 H 2.10
5 Ti 0.5000 0.0000 0.0000  2 H 2.10